1.
Material: AcSm2Co
Method: DFT, GGA-PBE
State: optimized geometry

Cell lengths 3.970, 3.970, 28.129 Å; angles 90.00, 90.00, 120.00 degrees
Element x y z (fractional)
Ac1 0.000 0.000 0.000
Ac2 0.333 0.667 0.667
Ac3 0.667 0.333 0.333
Sm1 0.000 0.000 0.220
Sm2 0.000 0.000 0.449
Sm3 0.333 0.667 0.116
Sm4 0.333 0.667 0.887
Sm5 0.667 0.333 0.554
Sm6 0.667 0.333 0.782
Co1 0.000 0.000 0.835
Co2 0.333 0.667 0.501
Co3 0.667 0.333 0.168

Computed properties:
total DFT energy (no corrections): -0.3797 Ry/atom
crystal system: trigonal
theoretical density: 7.6 g/cm3
space-group type: R3m
total moment: 0.0 μB/f.u.


2.
Material: AcSm2Co2
Method: DFT, GGA-PBE
State: optimized geometry

Cell lengths 11.899, 3.886, 5.754 Å; angles 90.00, 105.17, 90.00 degrees
Element x y z (fractional)
Ac1 0.000 0.000 0.000
Ac2 0.500 0.500 0.000
Sm1 0.151 0.500 0.587
Sm2 0.349 0.000 0.413
Sm3 0.651 0.000 0.587
Sm4 0.849 0.500 0.413
Co1 0.229 0.500 0.103
Co2 0.271 0.000 0.897
Co3 0.729 0.000 0.103
Co4 0.771 0.500 0.897

Computed properties:
total DFT energy (no corrections): -0.4067 Ry/atom
crystal system: monoclinic
theoretical density: 8.3 g/cm3
space-group type: C2/m
total moment: 0.0 μB/f.u.


For reference, DOS(E_F) by record: 1.017 1.130 states/eV/atom.
For reference, excess energy over the best structure of this formula in the dataset by record: 58.7 66.5 meV/atom.
For reference, E_form by record: -3 19 meV/atom.